Record 1
Compound: NbTcTe2N
Source: Alexandria via LeMat-Bulk
Functional: PBE
Structure: relaxed

**Size of the total moment**: 0.532 μB/atom
**E_form (uncorrected)**: 0.5368 eV/atom
**Calculated total energy**: -6.472 eV/atom
**Density of states at the Fermi level**: 1.0376 states/eV per atom

Geometry as CIF:
```
data_NbTcTe2N
_chemical_formula_sum 'Nb1 Tc1 Te2 N1'
_cell_length_a 5.393
_cell_length_b 5.393
_cell_length_c 3.692
_cell_angle_alpha 90.00
_cell_angle_beta 90.00
_cell_angle_gamma 90.00
_space_group_name_H-M_alt 'P 4/m m m'
_space_group_IT_number 123
_space_group_name_Hall '-P 4 2'
loop_
_atom_site_label
_atom_site_fract_x
_atom_site_fract_y
_atom_site_fract_z
_atom_site_occupancy
Nb1 0.000 0.000 0.000 1
Tc1 0.500 0.500 0.500 1
Te1 0.000 0.500 0.500 1
N1 0.500 0.500 0.000 1
```


Record 2
Compound: TaVH
Source: Alexandria via LeMat-Bulk
Functional: PBE
Structure: relaxed

**Size of the total moment**: 0.000 μB/atom
**Calculated total energy**: -8.239 eV/atom
**Density of states at the Fermi level**: 0.7359 states/eV per atom

Geometry as CIF:
```
data_TaVH
_chemical_formula_sum 'Ta2 V2 H2'
_cell_length_a 3.310
_cell_length_b 4.424
_cell_length_c 4.662
_cell_angle_alpha 90.00
_cell_angle_beta 90.00
_cell_angle_gamma 90.00
_space_group_name_H-M_alt 'P m n 21'
_space_group_IT_number 31
loop_
_space_group_symop_operation_xyz
'x,y,z'
'-x+1/2,-y,z+1/2'
'-x,y,z'
'x+1/2,-y,z+1/2'
loop_
_atom_site_label
_atom_site_fract_x
_atom_site_fract_y
_atom_site_fract_z
_atom_site_occupancy
Ta1 0.000 0.000 0.000 1
V1 0.000 0.496 0.501 1
H1 0.000 0.430 0.881 1
```


Record 3
Compound: CeThSbSe
Source: Alexandria via LeMat-Bulk
Functional: PBE
Structure: relaxed

**Size of the total moment**: 0.211 μB/atom
**E_form (uncorrected)**: -1.2810 eV/atom
**Calculated total energy**: -6.521 eV/atom
**Density of states at the Fermi level**: 1.8088 states/eV per atom

Geometry as CIF:
```
data_CeThSbSe
_chemical_formula_sum 'Ce1 Th1 Sb1 Se1'
_cell_length_a 4.346
_cell_length_b 4.346
_cell_length_c 6.195
_cell_angle_alpha 90.00
_cell_angle_beta 90.00
_cell_angle_gamma 90.00
_space_group_name_H-M_alt 'P 4/m m m'
_space_group_IT_number 123
_space_group_name_Hall '-P 4 2'
loop_
_atom_site_label
_atom_site_fract_x
_atom_site_fract_y
_atom_site_fract_z
_atom_site_occupancy
Ce1 0.000 0.000 0.000 1
Th1 0.500 0.500 0.500 1
Sb1 0.500 0.500 0.000 1
Se1 0.000 0.000 0.500 1
```